## Tb4Ho2Tl3H2 (PBE-GGA)

Data for a relaxed structure of Tb4Ho2Tl3H2.

Geometry as extended XYZ:
```
11
Lattice="-0.1182 -3.9276 2.6516 2.9888 1.9966 3.0906 -10.9733 5.5016 3.4225" Properties=species:S:1:pos:R:3 pbc="T T T"
Tb -6.4184 4.7614 6.7665
Tb -7.9719 1.7993 6.5470
Tb -0.1309 1.7712 2.6177
Tb -1.6844 -1.1909 2.3982
Ho -5.7569 2.7378 3.7986
Ho -2.3458 0.8326 5.3661
Tl 0.0000 0.0000 0.0000
Tl -3.3387 1.5878 2.2030
Tl -4.7641 1.9827 6.9617
H -7.5597 3.5952 4.9882
H -0.5431 -0.0247 4.1765
```

Output
- DFT total energy (eV per atom) = -4.0424

## Ho2TcH8 (PBE-GGA)

Data for a relaxed structure of Ho2TcH8.

Geometry as extended XYZ:
```
11
Lattice="-3.0134 0.7676 1.4322 0.2152 -3.5475 2.3543 4.4360 4.6537 2.7476" Properties=species:S:1:pos:R:3 pbc="T T T"
Ho 0.6472 2.6995 4.0070
Ho 0.9906 -0.8258 2.5270
Tc -1.5067 0.3838 0.7161
H 2.4069 1.5470 4.2352
H -0.6479 -1.6287 3.6017
H 0.1821 0.3103 4.3088
H 0.0469 -0.7706 0.5118
H 1.4558 1.5635 2.2252
H 2.2858 3.5025 2.9323
H -0.7690 0.3267 2.2988
H 1.5909 2.6444 6.0222
```

Output
- DFT total energy (eV per atom) = -4.6171

## HoTcH (PBE-GGA)

Data for a relaxed structure of HoTcH.

Geometry as extended XYZ:
```
18
Lattice="5.1152 0.0000 0.0000 2.5576 4.4299 0.0000 2.5576 1.4766 12.0537" Properties=species:S:1:pos:R:3 pbc="T T T"
H 3.8030 3.7108 3.4221
H 5.1152 1.4380 3.4221
H 6.4274 3.7108 3.4221
H 6.4274 2.1956 8.6316
H 5.1152 4.4684 8.6316
H 3.8030 2.1956 8.6316
Ho 7.6727 4.4299 8.8413
Ho 2.5576 1.4766 3.2124
Ho 2.5576 1.4766 10.4299
Ho 7.6727 4.4299 1.6238
Ho 2.5576 1.4766 6.8477
Ho 7.6727 4.4299 5.2060
Tc 5.1152 2.9532 9.5847
Tc 5.1152 2.9532 2.4690
Tc 1.2788 2.2149 0.0000
Tc 2.5576 0.0000 0.0000
Tc 3.8364 2.2149 0.0000
Tc 5.1152 2.9532 6.0269
```

Output
- DFT total energy (eV per atom) = -6.2748

## Ho3Te2H (PBE-GGA)

Data for a relaxed structure of Ho3Te2H.

Geometry as extended XYZ:
```
12
Lattice="5.9900 0.0000 0.0000 0.0000 8.1854 -0.2153 0.0000 -4.1978 7.0304" Properties=species:S:1:pos:R:3 pbc="T T T"
Ho 5.7986 4.6980 4.1086
Ho 2.8036 2.7075 0.7066
Ho 5.7986 1.2802 6.1084
Ho 2.8036 -0.7104 2.7065
Ho 2.8475 3.5829 6.1235
Ho 5.8425 0.4047 0.6916
Te 2.8066 4.5267 3.2383
Te 5.8016 3.3822 1.2824
Te 2.8066 0.6054 5.5327
Te 5.8016 -0.5390 3.5768
H 0.6555 3.3366 5.7024
H 3.6505 0.6510 1.1127
```

Output
- DFT total energy (eV per atom) = -4.6980

## Ho2Te3H (PBE-GGA)

Data for a relaxed structure of Ho2Te3H.

Geometry as extended XYZ:
```
12
Lattice="4.6568 0.0000 0.0000 2.3284 7.9262 0.7091 2.3284 2.5171 10.0315" Properties=species:S:1:pos:R:3 pbc="T T T"
Ho 6.9852 5.7408 8.6816
Ho 2.3284 4.7025 2.0590
Ho 4.6568 3.4309 5.6918
Ho 4.6568 7.0124 5.0488
Te 2.3284 2.9430 7.5778
Te 6.9852 7.5004 3.1628
Te 6.9852 8.2310 10.5200
Te 2.3284 2.2123 0.2206
Te 6.9852 8.0790 6.7972
Te 2.3284 2.3643 3.9434
H 4.6568 5.4371 6.5614
H 4.6568 5.0062 4.1792
```

Output
- energy relative to the lowest polymorph listed for this composition (eV/atom) = 0.163

## HoTeH (PBE-GGA)

Data for a relaxed structure of HoTeH.

Geometry as extended XYZ:
```
6
Lattice="3.9423 -0.0168 -0.0095 0.0157 3.9258 -0.3680 0.0236 0.7565 8.0755" Properties=species:S:1:pos:R:3 pbc="T T T"
Ho 2.0876 1.9832 6.9769
Ho 0.1074 3.4150 1.0393
Te 0.1203 3.8278 5.4456
Te 2.0747 1.5703 2.5708
H 0.0962 1.3435 0.0647
H 2.0752 3.2981 -0.1240
```

Output
- DFT total energy (eV per atom) = -4.7417

## Ho2Te3H (PBE-GGA)

Data for a relaxed structure of Ho2Te3H.

Geometry as extended XYZ:
```
24
Lattice="-0.5635 3.8444 -1.0654 -12.5720 -1.4034 1.5856 1.0366 3.2196 11.0689" Properties=species:S:1:pos:R:3 pbc="T T T"
Ho -8.1803 1.4268 5.6660
Ho -3.9186 4.2338 5.9230
Ho -2.5682 2.8326 0.1529
Ho -9.5307 2.8279 11.4362
Ho -0.1034 1.8882 3.0591
Ho -11.9955 3.7724 8.5299
Ho -6.7693 2.8038 2.2710
Ho -5.3296 2.8568 9.3181
Te -4.7928 0.6567 1.0957
Te -7.3061 5.0039 10.4933
Te -10.9858 3.0412 5.3576
Te -1.1131 2.6194 6.2315
Te -8.7318 0.5461 2.7800
Te -3.3671 5.1145 8.8090
Te -2.5726 3.6512 3.1090
Te -9.5263 2.0093 8.4801
Te -5.2283 1.5934 4.7060
Te -6.8706 4.0672 6.8830
Te -12.0795 1.9338 1.9401
Te -0.0194 3.7268 9.6489
H -1.5649 1.2297 1.4561
H -10.5340 4.4309 10.1330
H -7.9000 3.1730 4.2010
H -4.1990 2.4876 7.3881
```

Output
- energy relative to the lowest polymorph listed for this composition (eV/atom) = 0.000

## Ho3TeH (PBE-GGA)

Data for a relaxed structure of Ho3TeH.

Geometry as extended XYZ:
```
10
Lattice="3.8279 0.0000 0.0000 0.0000 7.4156 0.4417 0.0000 -1.1910 8.2446" Properties=species:S:1:pos:R:3 pbc="T T T"
Ho 2.8710 4.2761 3.4935
Ho 0.9570 1.9485 5.1929
Ho 2.8710 0.7023 7.8287
Ho 0.9570 6.0964 5.8048
Ho 0.9570 5.5222 0.8576
Ho 2.8710 0.1282 2.8816
Te 0.9570 2.4731 1.9317
Te 2.8710 3.7514 6.7547
H 0.9570 5.8291 3.3937
H 2.8709 0.3954 5.2926
```

Output
- DFT total energy (eV per atom) = -4.6390

## Ho2Te2H (PBE-GGA)

Data for a relaxed structure of Ho2Te2H.

Geometry as extended XYZ:
```
10
Lattice="3.9227 0.0000 0.0000 -1.9613 5.4183 0.0000 0.0000 0.0000 11.4126" Properties=species:S:1:pos:R:3 pbc="T T T"
Ho 0.0000 2.4316 1.5547
Ho 0.0000 0.5957 10.1064
Ho 1.9613 2.9867 7.2610
Ho 1.9613 4.8226 4.4001
Te 1.9613 4.7270 1.4144
Te 0.0000 3.6173 9.6243
Te 0.0000 0.6913 7.1207
Te 1.9613 1.8010 3.9180
H 1.9613 1.4805 11.3702
H 0.0000 3.9379 5.6639
```

Output
- DFT total energy (eV per atom) = -4.7457

## Ho3Te2H2 (PBE-GGA)

Data for a relaxed structure of Ho3Te2H2.

Geometry as extended XYZ:
```
7
Lattice="-2.5366 -0.1552 -3.1026 -0.6424 -4.3439 0.7422 -4.6991 4.0444 6.2368" Properties=species:S:1:pos:R:3 pbc="T T T"
Ho 0.0000 0.0000 0.0000
Ho -3.0909 -1.8226 0.0228
Ho -4.7873 1.3679 3.8536
Te -5.6214 -1.0971 2.0666
Te -2.2567 0.6424 1.8098
H -1.4283 -1.1608 -1.3660
H -6.4498 0.7061 5.2424
```

Output
- DFT total energy (eV per atom) = -4.7690

## Ho3Te3H2 (PBE-GGA)

Data for a relaxed structure of Ho3Te3H2.

Geometry as extended XYZ:
```
16
Lattice="-2.7169 2.8865 -0.1831 -1.9298 -4.7280 -2.9006 -6.8560 -5.5864 13.6671" Properties=species:S:1:pos:R:3 pbc="T T T"
Ho -5.3760 -2.0186 4.9478
Ho -8.6883 -7.4965 10.7420
Ho -2.8144 0.0687 -0.1585
Ho -6.1267 -5.4093 5.6357
Ho -4.2214 -3.9014 1.1351
Ho -7.2813 -3.5265 9.4483
Te -6.9662 -3.6607 2.6566
Te -6.5166 -5.3806 11.8741
Te -4.9861 -2.0473 -1.2906
Te -4.5365 -3.7672 7.9269
Te -4.1841 -1.0638 2.3137
Te -7.3186 -6.3641 8.2698
H -9.6593 -5.6450 11.3367
H -4.6348 -4.0573 4.8112
H -6.8679 -3.3706 5.7722
H -1.8434 -1.7828 -0.7532
```

Output
- DFT total energy (eV per atom) = -4.8086

## HoTeH2 (PBE-GGA)

Data for a relaxed structure of HoTeH2.

Geometry as extended XYZ:
```
4
Lattice="3.6347 0.0000 0.0000 1.8173 3.1477 0.0000 1.8173 1.0492 5.3948" Properties=species:S:1:pos:R:3 pbc="T T T"
H 1.8173 1.0492 0.4169
H 5.4520 3.1477 4.9778
Te 3.6347 2.0985 2.6974
Ho 0.0000 0.0000 0.0000
```

Output
- DFT total energy (eV per atom) = -4.2001

Number 1: size of the total moment 0.0 μB/f.u.. Number 2: size of the total moment 0.0 μB/f.u.. Number 3: size of the total moment 0.0 μB/f.u.. Number 4: size of the total moment 0.1 μB/f.u.. Number 5: size of the total moment 0.0 μB/f.u.. Number 6: size of the total moment 0.0 μB/f.u.. Number 7: size of the total moment 0.0 μB/f.u.. Number 8: size of the total moment 0.0 μB/f.u.. Number 9: size of the total moment 0.0 μB/f.u.. Number 10: size of the total moment 0.0 μB/f.u.. Number 11: size of the total moment 0.0 μB/f.u.. Number 12: size of the total moment 0.0 μB/f.u..